1.
Material: Tl3Au
Method: DFT, GGA-PBE
State: relaxed

a = 5.8595 Å, b = 5.8595 Å, c = 5.8595 Å
α = 114.72°, β = 114.72°, γ = 114.72°
Sites, in units of the cell vectors:
Tl 0.5000 0.0000 0.5000
Tl 0.5000 0.5000 0.0000
Tl 0.0000 0.5000 0.5000
Au 0.0000 0.0000 0.0000

**Theoretical density**: 11660 kg/m3
**Density of states at the Fermi level**: 0.37 states/eV/atom
**Total magnetization**: 0.00 μB per atom
**Formation energy from the elements**: 0.08 eV per atom
**Calculated total energy**: -2.51 eV/atom
**Excess energy over the best structure of this formula in the dataset**: 2.63 kcal/mol of atoms



2.
Material: Tl2Au
Method: DFT, GGA-PBE
State: relaxed

a = 3.5152 Å, b = 7.4372 Å, c = 6.5779 Å
α = 90.00°, β = 90.00°, γ = 90.00°
Sites, in units of the cell vectors:
Au 0.0000 0.0000 0.0000
Au 0.5000 0.5000 0.5000
Tl 0.0000 0.1940 0.6117
Tl 0.0000 0.8060 0.3883
Tl 0.5000 0.6940 0.8883
Tl 0.5000 0.3060 0.1117

**Theoretical density**: 11698 kg/m3
**Density of states at the Fermi level**: 0.41 states/eV/atom
**Total magnetization**: 0.00 μB per atom
**Formation energy from the elements**: 0.01 eV per atom
**Calculated total energy**: -2.66 eV/atom



Please write out number 1 again, unchanged.
Material: Tl3Au
Method: DFT, GGA-PBE
State: relaxed

a = 5.8595 Å, b = 5.8595 Å, c = 5.8595 Å
α = 114.72°, β = 114.72°, γ = 114.72°
Sites, in units of the cell vectors:
Tl 0.5000 0.0000 0.5000
Tl 0.5000 0.5000 0.0000
Tl 0.0000 0.5000 0.5000
Au 0.0000 0.0000 0.0000

**Theoretical density**: 11660 kg/m3
**Density of states at the Fermi level**: 0.37 states/eV/atom
**Total magnetization**: 0.00 μB per atom
**Formation energy from the elements**: 0.08 eV per atom
**Calculated total energy**: -2.51 eV/atom
**Excess energy over the best structure of this formula in the dataset**: 2.63 kcal/mol of atoms



> What is the formation energy from the elements in the first record?

0.08 eV per atom